1.
The following is a PBE calculation of a relaxed Ta2Pb2O7 crystal, from Alexandria via LeMat-Bulk.

The raw formation energy comes out at -2.21 eV/atom. Its energy is -8.191 eV/atom. As for the theoretical density: 7.92 g/cm³.

It has space group C2/m (No. 12), with a = 8.0727 Å, b = 8.3799 Å, c = 5.5427 Å, α = 90.00°, β = 96.39° and γ = 90.00°. The inequivalent atoms are Ta at (0.2386, 0.0000, 0.4696), Pb at (0.0000, 0.2790, 0.0000), O at (0.0000, 0.0000, 0.5000), O at (0.1159, 0.5000, 0.2379) and O at (0.2200, 0.3280, 0.7214).

---

2.
The following is a PBE calculation of a relaxed Pb3C4 crystal, from Alexandria via LeMat-Bulk.

The value obtained for the formation energy is 183.98 kJ per mole of atoms. Its energy is -4.953 eV/atom. As for the theoretical density: 7.86 g/cm³.

It has space group P6/mmm (No. 191), with a = 7.5786 Å, b = 7.5786 Å, c = 2.8431 Å, α = 90.00°, β = 90.00° and γ = 120.00°. The inequivalent atoms are Pb at (0.0000, 0.5000, 0.0000), C at (0.0000, 0.0000, 0.2513) and C at (0.3333, 0.6667, 0.5000).

---

Q: The lowest theoretical density belongs to which entry?
A: Pb3C4

---

Q: energy of number 1 (Ta2Pb2O7)?
A: -8.191 eV/atom

---

Q: What is the theoretical density in the first record?
A: 7.92 g/cm³

---

Q: The lowest energy belongs to which entry?
A: Ta2Pb2O7